This record from the Alexandria database describes NdNiTe2O8 after structural relaxation. The functional is PBE with a Hubbard U.

Structure (POSCAR):
```
NdNiTe2O8
1.0
-3.6410 3.6410 3.4320
3.6410 -3.6410 3.4320
3.6410 3.6410 -3.4320
Nd Ni Te O
1 1 2 8
Cartesian
0.0000 0.0000 0.0000
0.0000 3.6410 1.7160
3.6410 0.0000 1.7160
0.0000 0.0000 3.4320
2.2954 0.0000 0.4677
4.9866 0.0000 0.4677
3.6410 2.1997 -1.3059
3.6410 -1.3456 2.9643
0.0000 1.4414 2.1261
3.6410 1.3456 2.9643
2.1997 3.6410 1.3059
1.4414 0.0000 4.7380
```

Properties
- Space-group type: No. 119
- Total DFT energy (no corrections): -5.707 eV per atom